Entry from Alexandria: crystalline Pm4HoTm6 at its relaxed geometry (PBE).

It has space group I-42m (No. 121), with a = 7.646 Å, b = 7.646 Å, c = 13.010 Å, α = 90.00°, β = 90.00° and γ = 90.00°. Symmetry generates all atoms from Pm at (0.175, 0.175, 0.424), Ho at (0.000, 0.000, 0.000), Tm at (0.000, 0.500, 0.000) and Tm at (0.244, 0.244, 0.182).

***

Entry from Alexandria: crystalline Pm6Ho12Tm at its relaxed geometry (PBE).

It has space group R-3m (No. 166, hexagonal axes), with a = 15.1018 Å, b = 15.1018 Å, c = 10.1386 Å, α = 90.00°, β = 90.00° and γ = 120.00°. Symmetry generates all atoms from Pm at (0.0767, 0.5384, 0.2140), Ho at (0.0000, 0.3890, 0.5000), Ho at (0.0780, 0.1560, 0.2387) and Tm at (0.0000, 0.0000, 0.0000).

***

Entry from Alexandria: crystalline Pm4Ho5Tm2 at its relaxed geometry (PBE).

It has space group C2/m (No. 12), with a = 19.062 Å, b = 5.623 Å, c = 6.600 Å, α = 90.00°, β = 90.92° and γ = 90.00°. Symmetry generates all atoms from Pm at (0.020, 0.000, 0.288), Pm at (0.194, 0.500, 0.071), Ho at (0.000, 0.500, 0.000), Ho at (0.130, 0.000, 0.891), Ho at (0.208, 0.000, 0.402) and Tm at (0.098, 0.500, 0.554).

***

Entry from Alexandria: crystalline Pm2HoTm9 at its relaxed geometry (PBE).

It has space group P4/mmm (No. 123), with a = 5.807 Å, b = 5.807 Å, c = 11.065 Å, α = 90.00°, β = 90.00° and γ = 90.00°. Symmetry generates all atoms from Pm at (0.000, 0.000, 0.167), Ho at (0.000, 0.000, 0.500), Tm at (0.000, 0.500, 0.000), Tm at (0.000, 0.500, 0.336), Tm at (0.500, 0.500, 0.167) and Tm at (0.500, 0.500, 0.500).

***

Computed M_tot (Bohr magnetons per cell) in order:
0.0, 0.0, 0.0, 0.0
Computed calculated total energy (eV per atom) in order:
-4.1129, -4.1641, -4.5118, -4.3997